No. 1
# RbTbHg3S4 | OQMD via LeMat-Bulk | PBE | optimized geometry
data_RbTbHg3S4
_chemical_formula_sum 'Rb2 Tb2 Hg6 S8'
_cell_length_a 6.271
_cell_length_b 7.561
_cell_length_c 12.203
_cell_angle_alpha 90.00
_cell_angle_beta 100.72
_cell_angle_gamma 90.00
_symmetry_space_group_name_H-M 'P 1'
_symmetry_Int_Tables_number 1
loop_
_symmetry_equiv_pos_as_xyz
'x,y,z'
loop_
_atom_site_label
_atom_site_type_symbol
_atom_site_fract_x
_atom_site_fract_y
_atom_site_fract_z
Rb1 Rb 0.236 0.250 0.124
Rb2 Rb 0.764 0.750 0.876
Tb1 Tb 0.044 0.750 0.293
Tb2 Tb 0.956 0.250 0.707
Hg1 Hg 0.217 0.520 0.549
Hg2 Hg 0.217 0.980 0.549
Hg3 Hg 0.466 0.250 0.820
Hg4 Hg 0.534 0.750 0.180
Hg5 Hg 0.783 0.020 0.451
Hg6 Hg 0.783 0.480 0.451
S1 S 0.156 0.750 0.098
S2 S 0.227 0.519 0.767
S3 S 0.227 0.981 0.767
S4 S 0.440 0.750 0.446
S5 S 0.560 0.250 0.554
S6 S 0.773 0.019 0.233
S7 S 0.773 0.481 0.233
S8 S 0.844 0.250 0.902
# - relative energy among the computed polymorphs (meV per atom) = 0

---

No. 2
# RbHg3WS4 | OQMD via LeMat-Bulk | PBE | optimized geometry
data_RbHg3WS4
_chemical_formula_sum 'Rb1 Hg3 W1 S4'
_cell_length_a 7.400
_cell_length_b 7.400
_cell_length_c 7.400
_cell_angle_alpha 90.00
_cell_angle_beta 90.00
_cell_angle_gamma 90.00
_symmetry_space_group_name_H-M 'P 1'
_symmetry_Int_Tables_number 1
loop_
_symmetry_equiv_pos_as_xyz
'x,y,z'
loop_
_atom_site_label
_atom_site_type_symbol
_atom_site_fract_x
_atom_site_fract_y
_atom_site_fract_z
Rb1 Rb 0.000 0.000 0.000
Hg1 Hg 0.000 0.500 0.500
Hg2 Hg 0.500 0.000 0.500
Hg3 Hg 0.500 0.500 0.000
W1 W 0.500 0.500 0.500
S1 S 0.326 0.326 0.326
S2 S 0.326 0.674 0.674
S3 S 0.674 0.326 0.674
S4 S 0.674 0.674 0.326
# - calculated total energy (eV/atom) = -3.714

---

No. 3
# RbYHgS3 | OQMD via LeMat-Bulk | PBE | optimized geometry
data_RbYHgS3
_chemical_formula_sum 'Rb2 Y2 Hg2 S6'
_cell_length_a 8.402
_cell_length_b 4.138
_cell_length_c 10.475
_cell_angle_alpha 90.00
_cell_angle_beta 109.18
_cell_angle_gamma 90.00
_symmetry_space_group_name_H-M 'P 1'
_symmetry_Int_Tables_number 1
loop_
_symmetry_equiv_pos_as_xyz
'x,y,z'
loop_
_atom_site_label
_atom_site_type_symbol
_atom_site_fract_x
_atom_site_fract_y
_atom_site_fract_z
Rb1 Rb 0.245 0.250 0.226
Rb2 Rb 0.755 0.750 0.774
Y1 Y 0.179 0.750 0.631
Y2 Y 0.821 0.250 0.369
Hg1 Hg 0.406 0.250 0.883
Hg2 Hg 0.594 0.750 0.117
S1 S 0.036 0.750 0.364
S2 S 0.255 0.750 0.938
S3 S 0.410 0.250 0.645
S4 S 0.590 0.750 0.355
S5 S 0.745 0.250 0.062
S6 S 0.964 0.250 0.636
# - calculated total energy (eV/atom) = -4.584